Pm4Pr2O after structural relaxation. Source: Alexandria, functional PBE.

## Properties
E = -5.430 eV per atom
E_form (uncorrected) = -0.64 eV per atom

Unit cell a=4.9442 b=4.9442 c=18.0163 alpha=90.00 beta=90.00 gamma=90.00
With the nearest neighbours (Å) after each atom.
Space group I4/mmm (No. 139)
Unique sites:
Pm: 0.0000 0.0000 0.1352  1 O 2.44
Pm: 0.0000 0.5000 0.0000  2 O 2.47
Pr: 0.0000 0.0000 0.3354  9 Pm 3.54-3.86
O: 0.0000 0.0000 0.0000  6 Pm 2.44-2.47



Pm2PrPuO8 after structural relaxation. Source: Alexandria, functional PBE.

## Properties
E = -8.682 eV per atom
E_form (uncorrected) = -2.99 eV per atom

Unit cell a=4.0625 b=5.5452 c=7.5994 alpha=89.96 beta=89.98 gamma=83.78
With the nearest neighbours (Å) after each atom.
Space group P-1 (No. 2)
Unique sites:
Pm: 0.9999 0.0005 0.2440  8 O 2.30-2.55
Pr: 0.5000 0.5000 0.0000  8 O 2.38-2.58
Pu: 0.5000 0.5000 0.5000  6 O 1.98-2.12
O: 0.0076 0.2433 0.9996  2 Pm 2.30, 1 Pr 2.38
O: 0.0762 0.7140 0.5001  1 Pu 1.98
O: 0.4542 0.2649 0.2843  1 Pu 2.12
O: 0.4536 0.2663 0.7151  1 Pu 2.11



PmPr2PuO8 after structural relaxation. Source: Alexandria, functional PBE.

## Properties
E = -8.664 eV per atom
E_form (uncorrected) = -2.97 eV per atom

Unit cell a=4.0799 b=5.6009 c=7.6197 alpha=89.92 beta=89.97 gamma=83.66
With the nearest neighbours (Å) after each atom.
Space group P-1 (No. 2)
Unique sites:
Pm: 0.0000 0.0000 0.0000  8 O 2.34-2.61
Pr: 0.5000 0.4992 0.7560  8 O 2.33-2.58
Pu: 0.0000 0.0000 0.5000  6 O 1.97-2.12
O: 0.0484 0.2289 0.2836  1 Pu 2.11
O: 0.0476 0.2307 0.7173  1 Pu 2.12
O: 0.4201 0.7899 0.4999  1 Pu 1.97
O: 0.4985 0.7495 0.9994  2 Pr 2.33, 1 Pm 2.34



Rb2PmPrO4 after structural relaxation. Source: Alexandria, functional PBE.

## Properties
E = -6.468 eV per atom
E_form (uncorrected) = -2.56 eV per atom

Unit cell a=6.3576 b=3.6705 c=6.9439 alpha=90.00 beta=107.75 gamma=90.00
With the nearest neighbours (Å) after each atom.
Space group P2/m (No. 10)
Unique sites:
Rb: 0.0000 0.0000 0.0000  6 O 2.98
Rb: 0.5000 0.5000 0.0000  6 O 3.00
Pm: 0.0000 0.5000 0.5000  6 O 2.41-2.42
Pr: 0.5000 0.0000 0.5000  6 O 2.45
O: 0.2231 0.0000 0.6804  2 Pm 2.42, 1 Pr 2.45
O: 0.2692 0.5000 0.3187  1 Pm 2.41, 2 Pr 2.45



PmPr2ReO8 after structural relaxation. Source: Alexandria, functional PBE.

## Properties
E = -8.182 eV per atom
E_form (uncorrected) = -2.65 eV per atom

Unit cell a=5.2332 b=7.0105 c=5.2363 alpha=90.00 beta=90.35 gamma=90.00
With the nearest neighbours (Å) after each atom.
Space group P2/m (No. 10)
Unique sites:
Pm: 0.0000 0.0000 0.0000  6 O 2.26-2.47
Pr: 0.5000 0.2527 0.5000  6 O 2.28-2.50
Re: 0.0000 0.5000 0.0000  6 O 1.89-1.92
O: 0.1764 0.2989 0.8248  1 Re 1.92
O: 0.2551 0.5000 0.2564  1 Re 1.89
O: 0.3059 0.0000 0.3072  1 Pm 2.26, 2 Pr 2.28



Pm2PrReO8 after structural relaxation. Source: Alexandria, functional PBE.

## Properties
E = -8.210 eV per atom
E_form (uncorrected) = -2.68 eV per atom

Unit cell a=7.3312 b=7.3465 c=7.0052 alpha=90.00 beta=90.00 gamma=90.00
With the nearest neighbours (Å) after each atom.
Space group Cmmm (No. 65)
Unique sites:
Pm: 0.0000 0.0000 0.2480  6 O 2.24-2.49
Pr: 0.0000 0.5000 0.5000  6 O 2.30-2.48
Re: 0.0000 0.5000 0.0000  6 O 1.89-1.92
O: 0.0000 0.1874 0.5000  2 Pm 2.24, 1 Pr 2.30
O: 0.0000 0.2421 0.0000  1 Re 1.89
O: 0.1792 0.5000 0.1993  1 Re 1.92



- What is the formula in the sixth record?
  Pm2PrReO8



- Number 2 is which compound?
  Pm2PrPuO8